# 1
Density functional theory data (PBE-GGA) for a relaxed structure of DyAl2Rh.

```
data_DyAl2Rh
_symmetry_space_group_name_H-M 'R -3 m'
_symmetry_Int_Tables_number 166
_symmetry_space_group_name_Hall '-R 3 2"'
_cell_length_a 3.2284
_cell_length_b 3.2284
_cell_length_c 25.9403
_cell_angle_alpha 90.00
_cell_angle_beta 90.00
_cell_angle_gamma 120.00
loop_
_atom_site_label
_atom_site_type_symbol
_atom_site_fract_x
_atom_site_fract_y
_atom_site_fract_z
Dy1 Dy 0.0000 0.0000 0.0000
Al1 Al 0.0000 0.0000 0.2334
Rh1 Rh 0.0000 0.0000 0.5000
```

Results
As for the volume: 19.51 Å³/atom. As for the energy: -5.186 eV per atom. Its size of the total moment is 0.00 μB/f.u.

# 2
Density functional theory data (PBE-GGA) for a relaxed structure of DyAl9Rh2.

```
data_DyAl9Rh2
_symmetry_space_group_name_H-M 'I 41/a m d'
_symmetry_Int_Tables_number 141
_cell_length_a 10.774
_cell_length_b 10.774
_cell_length_c 6.859
_cell_angle_alpha 90.00
_cell_angle_beta 90.00
_cell_angle_gamma 90.00
loop_
_symmetry_equiv_pos_as_xyz
'x,y,z'
'-x,-y,-z'
'-y+1/4,x+3/4,z+1/4'
'y+1/4,-x+3/4,-z+1/4'
'-x+1/2,-y,z+1/2'
'x+1/2,y,-z+1/2'
'y+1/4,-x+1/4,z+3/4'
'-y+1/4,x+1/4,-z+3/4'
'x,-y,-z'
'-x,y,z'
'-y+1/4,-x+1/4,-z+3/4'
'y+1/4,x+1/4,z+3/4'
'-x+1/2,y,-z+1/2'
'x+1/2,-y,z+1/2'
'y+1/4,x+3/4,-z+1/4'
'-y+1/4,-x+3/4,z+1/4'
'x+1/2,y+1/2,z+1/2'
'-x+1/2,-y+1/2,-z+1/2'
'-y+3/4,x+1/4,z+3/4'
'y+3/4,-x+1/4,-z+3/4'
'-x,-y+1/2,z'
'x,y+1/2,-z'
'y+3/4,-x+3/4,z+1/4'
'-y+3/4,x+3/4,-z+1/4'
'x+1/2,-y+1/2,-z+1/2'
'-x+1/2,y+1/2,z+1/2'
'-y+3/4,-x+3/4,-z+1/4'
'y+3/4,x+3/4,z+1/4'
'-x,y+1/2,-z'
'x,-y+1/2,z'
'y+3/4,x+1/4,-z+3/4'
'-y+3/4,-x+1/4,z+3/4'
loop_
_atom_site_label
_atom_site_type_symbol
_atom_site_fract_x
_atom_site_fract_y
_atom_site_fract_z
Dy1 Dy 0.000 0.250 0.375
Al1 Al 0.000 0.250 0.875
Al2 Al 0.121 0.051 0.682
Rh1 Rh 0.000 0.000 0.000
```

Results
As for the volume: 16.59 Å³/atom. As for the energy: -4.951 eV per atom. Its size of the total moment is 0.00 μB/f.u.

# 3
Density functional theory data (PBE-GGA) for a relaxed structure of Dy2AlRh.

```
data_Dy2AlRh
_symmetry_space_group_name_H-M 'F m -3 m'
_symmetry_Int_Tables_number 225
_symmetry_space_group_name_Hall '-F 4 2 3'
_cell_length_a 7.059
_cell_length_b 7.059
_cell_length_c 7.059
_cell_angle_alpha 90.00
_cell_angle_beta 90.00
_cell_angle_gamma 90.00
loop_
_atom_site_label
_atom_site_type_symbol
_atom_site_fract_x
_atom_site_fract_y
_atom_site_fract_z
Dy1 Dy 0.250 0.250 0.250
Al1 Al 0.000 0.000 0.000
Rh1 Rh 0.000 0.000 0.500
```

Results
As for the volume: 21.98 Å³/atom. As for the energy: -5.633 eV per atom. Its size of the total moment is 0.00 μB/f.u.